Entry from the Alexandria database: a relaxed Sm8Cd2Sb crystal (PBE).

Cell and atoms, written as CIF:
```
data_Sm8Cd2Sb
_cell_length_a 18.863
_cell_length_b 5.270
_cell_length_c 7.117
_cell_angle_alpha 90.00
_cell_angle_beta 101.55
_cell_angle_gamma 90.00
_symmetry_space_group_name_H-M 'C 1 2/m 1'
_symmetry_Int_Tables_number 12
loop_
_symmetry_equiv_pos_as_xyz
'x,y,z'
'-x,-y,-z'
'-x,y,-z'
'x,-y,z'
'x+1/2,y+1/2,z'
'-x+1/2,-y+1/2,-z'
'-x+1/2,y+1/2,-z'
'x+1/2,-y+1/2,z'
loop_
_atom_site_label
_atom_site_type_symbol
_atom_site_fract_x
_atom_site_fract_y
_atom_site_fract_z
Sm1 Sm 0.022 0.000 0.256
Sm2 Sm 0.093 0.500 0.956
Sm3 Sm 0.162 0.500 0.468
Sm4 Sm 0.205 0.000 0.810
Cd1 Cd 0.188 0.000 0.234
Sb1 Sb 0.000 0.500 0.500
```

Summary:
* electronic total energy: -92.66 eV/cell
* formation energy from raw total energies: -23.0 kJ per mole of atoms